Entry 1:
Ac2GaP3Pd4: relaxed, GGA-PBE.

```
Ac2GaP3Pd4
1.0
4.3461 0.0000 0.0000
0.0000 4.3461 0.0000
0.0000 0.0000 10.2447
Ac Ga P Pd
2 1 3 4
Cartesian
2.1730 0.0000 2.5027
0.0000 2.1730 7.7420
2.1730 2.1730 5.1224
0.0000 0.0000 5.1224
2.1730 0.0000 8.8951
0.0000 2.1730 1.3496
2.1730 2.1730 0.0000
0.0000 0.0000 0.0000
2.1730 0.0000 6.4421
0.0000 2.1730 3.8026
```

Computed properties:
- Total DFT energy (no corrections): -57.48 eV per formula unit
- E_form: -0.924 eV per atom
- DOS(E_F): 4.4 states/eV per cell
- Crystal system: tetragonal
- Space group: P-4m2 (115)


Entry 2:
Te2MoCl: relaxed, GGA-PBE.

```
Te2MoCl
1.0
-2.2511 5.9209 3.5656
-6.6257 1.9892 2.2319
5.7022 -4.5029 -0.2162
Cl Mo Te
1 1 2
Cartesian
-5.2533 4.6812 3.4311
-0.4010 2.6040 3.0636
-7.9889 7.1189 5.2177
-2.8465 0.8681 2.5654
```

Computed properties:
- Total DFT energy (no corrections): -18.72 eV per formula unit
- DOS(E_F): 3.6 states/eV per cell
- Crystal system: orthorhombic
- Space group: Imm2 (44)
- Relative energy among the computed polymorphs: 0.225 eV per atom


Entry 3:
CsSi2Au7: relaxed, GGA-PBE.

```
CsSi2Au7
1.0
-4.0479 -2.4646 0.8896
0.1076 -2.5529 -6.5827
3.7330 -4.8697 3.4945
Cs Si Au
1 2 7
Cartesian
0.0000 0.0000 0.0000
-0.9649 -4.3932 -3.4933
0.7577 -5.4940 1.2948
1.3331 -3.3361 -3.1761
2.5074 -4.0865 0.0880
-0.7035 -3.1931 1.0206
0.4962 -6.6940 -3.2192
-1.6174 -2.6091 -1.5196
1.4101 -7.2780 -0.6789
-0.1036 -4.9436 -1.0993
```

Computed properties:
- Total DFT energy (no corrections): -35.09 eV per formula unit
- DOS(E_F): 3.5 states/eV per cell
- Crystal system: orthorhombic
- Space group: Cmmm (65)


Entry 4:
Pb3Se: relaxed, GGA-PBE.

```
Pb3Se
1.0
3.7832 0.0000 0.0000
0.0000 5.4775 0.0000
0.0000 0.0000 5.7246
Pb Se
3 1
Cartesian
0.0000 0.0000 5.4484
1.8916 0.0000 2.4839
1.8916 2.7388 4.8673
0.0000 2.7388 2.4661
```

Computed properties:
- Total DFT energy (no corrections): -14.94 eV per formula unit
- DOS(E_F): 2.3 states/eV per cell
- Crystal system: orthorhombic
- Space group: Pmm2 (25)


Entry 5:
Ti4MnTc2: relaxed, GGA-PBE.

```
Ti4MnTc2
1.0
4.3766 0.0000 0.0000
0.0000 4.3766 0.0000
2.1883 2.1883 6.2676
Mn Tc Ti
1 2 4
Cartesian
0.0000 0.0000 0.0000
2.1883 2.1883 1.5836
4.3766 4.3766 4.6840
2.1883 2.1883 3.8759
4.3766 4.3766 2.3917
0.0000 2.1883 0.0000
2.1883 0.0000 0.0000
```

Computed properties:
- Total DFT energy (no corrections): -58.52 eV per formula unit
- E_form: 0.423 eV per atom
- DOS(E_F): 6.3 states/eV per cell
- Crystal system: tetragonal
- Space group: I4/mmm (139)
- Relative energy among the computed polymorphs: 0.558 eV per atom


Entry 6:
CaTaIn2: relaxed, GGA-PBE.

```
CaTaIn2
1.0
5.1778 0.0027 -0.0043
4.2212 2.9985 -0.0043
0.7494 0.2393 6.2403
Ca In Ta
1 2 1
Cartesian
2.5371 0.8101 1.5579
0.7750 0.2475 6.0324
5.0486 1.6121 3.3237
7.6113 2.4304 4.6738
```

Computed properties:
- Total DFT energy (no corrections): -18.53 eV per formula unit
- E_form: 0.199 eV per atom
- DOS(E_F): 3.0 states/eV per cell
- Crystal system: monoclinic
- Space group: C2/m (12)


Entry 7:
Hf2TlSe4: relaxed, GGA-PBE.

```
Hf2TlSe4
1.0
-0.7285 -3.6481 -0.3777
2.4002 -2.2060 -1.8317
8.1563 -4.8626 12.7272
Hf Tl Se
2 1 4
Cartesian
6.5258 -5.9758 8.1147
3.3022 -4.7409 2.4032
0.0000 0.0000 0.0000
5.2117 -3.7345 7.5102
1.9543 -2.4866 1.7388
7.8736 -8.2301 8.7790
4.6162 -6.9822 3.0077
```

Computed properties:
- Total DFT energy (no corrections): -44.24 eV per formula unit
- DOS(E_F): 3.4 states/eV per cell
- Crystal system: trigonal
- Space group: R-3m (166)
- Relative energy among the computed polymorphs: 0.000 eV per atom


Entry 8:
KLi3In9: relaxed, GGA-PBE.

```
KLi3In9
1.0
-5.3460 1.1376 2.2429
-4.5915 -6.3950 -0.2536
-0.2614 -1.4309 7.8839
K Li In
1 3 9
Cartesian
0.0000 0.0000 0.0000
-4.9687 -2.6287 0.9946
-0.1307 -0.7154 3.9420
-2.8037 -0.1466 5.0634
-7.6040 -5.3080 7.4898
-2.5948 -1.3803 2.3833
-3.9520 -1.9025 7.1945
-6.2468 -4.7857 2.6787
-5.1331 -1.9677 4.1645
-5.0658 -4.7206 5.7086
-8.4382 -3.5718 4.8689
-1.7607 -3.1164 5.0043
-2.2958 -3.1975 -0.1268
```

Computed properties:
- Total DFT energy (no corrections): -33.52 eV per formula unit
- E_form: -0.156 eV per atom
- DOS(E_F): 4.9 states/eV per cell
- Crystal system: monoclinic
- Space group: C2/m (12)


Entry 9:
Ca3TlAg: relaxed, GGA-PBE.

```
Ca3TlAg
1.0
5.2775 0.0000 1.2060
0.0000 5.4052 0.0000
0.3358 0.0000 10.6806
Ca Tl Ag
6 2 2
Cartesian
4.0278 1.3513 2.4020
2.3753 1.3513 9.6333
3.2015 1.3513 6.0179
1.3822 4.0539 1.8293
5.0072 4.0539 10.2666
0.5559 4.0539 5.4447
3.6328 4.0539 4.1305
5.4022 1.3513 8.5381
2.7689 4.0539 7.9111
0.9886 1.3513 3.5514
```

Computed properties:
- Total DFT energy (no corrections): -12.72 eV per formula unit
- E_form: -0.300 eV per atom
- DOS(E_F): 7.9 states/eV per cell
- Crystal system: orthorhombic
- Space group: Cmcm (63)
- Relative energy among the computed polymorphs: 0.000 eV per atom


Entry 10:
BaNaPb2: relaxed, GGA-PBE.

```
BaNaPb2
1.0
4.8168 0.0000 0.0000
0.0000 9.7582 0.0000
0.0000 0.0000 12.6029
Ba Na Pb
4 4 8
Cartesian
3.6126 8.5325 1.7509
1.2042 1.2257 10.8520
3.6126 3.6534 4.5506
1.2042 6.1048 8.0523
1.2042 4.6906 1.3033
1.2042 9.5697 4.9982
3.6126 5.0675 11.2996
3.6126 0.1884 7.6047
3.6126 8.2174 10.2647
1.2042 1.5407 2.3382
3.6126 3.3383 8.6397
1.2042 6.4198 3.9632
3.6126 7.3715 5.6314
1.2042 7.2658 11.9328
3.6126 2.4924 0.6701
1.2042 2.3867 6.9715
```

Computed properties:
- Total DFT energy (no corrections): -12.17 eV per formula unit
- E_form: -0.377 eV per atom
- DOS(E_F): 10.5 states/eV per cell
- Crystal system: orthorhombic
- Space group: Pnma (62)


Entry 11:
Zn2Cu2Se: relaxed, GGA-PBE.

```
Zn2Cu2Se
1.0
6.5155 0.0000 0.0000
0.0000 6.5155 0.0000
0.0000 0.0000 3.6922
Zn Cu Se
4 4 2
Cartesian
0.9810 4.2387 1.8461
4.2387 5.5345 1.8461
5.5345 2.2767 1.8461
2.2767 0.9810 1.8461
2.3608 5.6186 0.0000
5.6186 4.1546 0.0000
4.1546 0.8969 0.0000
0.8969 2.3608 0.0000
0.0000 0.0000 0.0000
3.2577 3.2577 0.0000
```

Computed properties:
- Total DFT energy (no corrections): -13.82 eV per formula unit
- DOS(E_F): 3.0 states/eV per cell
- Crystal system: tetragonal
- Space group: P4/mbm (127)
- Relative energy among the computed polymorphs: 0.000 eV per atom


Entry 12:
La2Sm3HoTe6: relaxed, GGA-PBE.

```
La2Sm3HoTe6
1.0
4.4546 0.0000 0.0000
0.0000 8.9829 0.3558
-2.2273 -2.5512 9.3894
La Sm Ho Te
2 3 1 6
Cartesian
2.2273 4.2778 6.4885
0.0000 2.1539 3.2567
2.2273 4.4914 0.1779
2.2273 -0.1971 6.2289
0.0000 6.6287 3.5163
2.2273 0.0000 0.0000
0.0000 6.5834 6.6764
2.2273 4.4528 3.2921
2.2273 -0.1518 3.0687
2.2273 -0.3638 9.4016
0.0000 6.7955 0.3436
0.0000 1.9789 6.4531
```

Computed properties:
- Total DFT energy (no corrections): -64.60 eV per formula unit
- DOS(E_F): 7.2 states/eV per cell
- Crystal system: monoclinic
- Space group: C2/m (12)


Entry 13:
Li4SmAg5: relaxed, GGA-PBE.

```
Li4SmAg5
1.0
-0.3713 2.4804 2.1076
-2.9630 0.6203 -1.2521
-6.8323 -10.3882 11.0217
Li Sm Ag
4 1 5
Cartesian
-1.5384 -2.3391 2.4817
-2.7885 -4.2398 4.4983
-4.0438 -6.1484 6.5234
-5.2939 -8.0491 8.5400
0.0000 0.0000 0.0000
-2.5861 0.1531 1.9102
-3.8287 -1.7361 3.9146
-5.0833 -3.6437 5.9386
-6.3380 -5.5514 7.9626
-7.5805 -7.4406 9.9670
```

Computed properties:
- Total DFT energy (no corrections): -28.69 eV per formula unit
- E_form: -0.206 eV per atom
- DOS(E_F): 4.4 states/eV per cell
- Crystal system: tetragonal
- Space group: P4/mmm (123)


Entry 14:
Tl2InAg2: relaxed, GGA-PBE.

```
Tl2InAg2
1.0
3.9261 0.0000 0.0000
0.0000 3.9261 0.0000
1.9631 1.9631 8.4887
Tl Ag In
2 2 1
Cartesian
1.9630 1.9630 1.8347
3.9261 3.9261 6.6539
3.9261 1.9631 4.2443
1.9631 3.9261 4.2443
0.0000 0.0000 0.0000
```

Computed properties:
- Total DFT energy (no corrections): -12.40 eV per formula unit
- E_form: 0.156 eV per atom
- DOS(E_F): 2.2 states/eV per cell
- Crystal system: tetragonal
- Space group: I4/mmm (139)
- Relative energy among the computed polymorphs: 0.066 eV per atom